Here is a relaxed CrSi2Hg crystal from Alexandria via LeMat-Bulk. Energies are from GGA-PBE.

## Properties
The calculation puts the density of states at the Fermi level at 2.723 states/eV/f.u. The formation energy from raw total energies comes out at 0.512 eV/atom. The calculated total energy comes out at -0.344 Ry per atom. Its symmetry is I-4m2 (119).

abc: 5.1105 5.1105 5.1105
angles: 135.52 135.52 64.72
Each line ends with the local moment (μB).
Fractional positions:
Cr  0.5000  0.5000  0.0000  2.83
Hg  0.7500  0.2500  0.5000  -0.04
Si  0.0000  0.0000  0.0000  -0.04
Si  0.2500  0.7500  0.5000  -0.04